[1]
An optimized crystal structure of SrPr2Zn6, computed with GGA-PBE.

abc: 8.0000 8.0000 3.7511
angles: 90.06 90.06 60.01
With the nearest neighbours (Å) after each atom.
Atoms (fractional coordinates):
Sr  0.0000  0.0000  0.0000  12 Zn 3.28
Pr  0.3334  0.3334  0.0003  12 Zn 3.25
Pr  0.6666  0.6666  0.9997  12 Zn 3.25
Zn  0.0001  0.3358  0.5000  3 Zn 2.63-2.69
Zn  0.9999  0.6642  0.5000  3 Zn 2.63-2.69
Zn  0.3358  0.0001  0.5000  3 Zn 2.63-2.69
Zn  0.3359  0.6641  0.5000  3 Zn 2.63-2.69
Zn  0.6642  0.9999  0.5000  3 Zn 2.63-2.69
Zn  0.6641  0.3359  0.5000  3 Zn 2.63-2.69

Output
E_form in eV/atom: -0.289
Size of the total moment in μB/cell: 0.00

***

[2]
An optimized crystal structure of Sr2PrZn4, computed with GGA-PBE.

abc: 4.0226 4.5348 21.2580
angles: 90.00 90.00 90.00
With the nearest neighbours (Å) after each atom.
Atoms (fractional coordinates):
Sr  0.0000  0.0000  0.1832  6 Zn 3.29-3.30
Sr  0.0000  0.0000  0.8168  6 Zn 3.29-3.30
Sr  0.5000  0.5000  0.3168  6 Zn 3.29-3.30
Sr  0.5000  0.5000  0.6832  6 Zn 3.29-3.30
Pr  0.0000  0.5000  0.0000  12 Zn 3.29-3.30
Pr  0.5000  0.0000  0.5000  12 Zn 3.29-3.30
Zn  0.0000  0.0000  0.3770  2 Zn 2.63
Zn  0.0000  0.0000  0.6230  2 Zn 2.63
Zn  0.0000  0.5000  0.4400  3 Zn 2.55-2.63
Zn  0.0000  0.5000  0.5600  3 Zn 2.55-2.63
Zn  0.5000  0.0000  0.0600  3 Zn 2.55-2.63
Zn  0.5000  0.0000  0.9400  3 Zn 2.55-2.63
Zn  0.5000  0.5000  0.1230  2 Zn 2.63
Zn  0.5000  0.5000  0.8770  2 Zn 2.63

Output
E_form in eV/atom: -0.231
Size of the total moment in μB/cell: 0.00

***

[3]
An optimized crystal structure of Sr2PrZn3, computed with GGA-PBE.

abc: 8.6216 8.6216 7.6130
angles: 90.00 90.00 143.24
With the nearest neighbours (Å) after each atom.
Atoms (fractional coordinates):
Sr  0.0000  0.0000  0.0000  8 Zn 3.37-3.54
Sr  0.0000  0.0000  0.5000  8 Zn 3.27-3.31
Sr  0.3333  0.6667  0.0000  8 Zn 3.36-3.44
Sr  0.6667  0.3333  0.0000  8 Zn 3.36-3.44
Pr  0.3366  0.6634  0.5000  8 Zn 3.16-3.23
Pr  0.6634  0.3366  0.5000  8 Zn 3.16-3.23
Zn  0.1736  0.8264  0.2766  3 Pr 3.16-3.21, 5 Sr 3.31-3.54, 1 Zn 3.40
Zn  0.1736  0.8264  0.7234  3 Pr 3.16-3.21, 5 Sr 3.31-3.54, 1 Zn 3.40
Zn  0.5000  0.5000  0.2624  2 Pr 3.23, 6 Sr 3.27-3.38
Zn  0.5000  0.5000  0.7376  2 Pr 3.23, 6 Sr 3.27-3.38
Zn  0.8264  0.1736  0.2766  3 Pr 3.16-3.21, 5 Sr 3.31-3.54, 1 Zn 3.40
Zn  0.8264  0.1736  0.7234  3 Pr 3.16-3.21, 5 Sr 3.31-3.54, 1 Zn 3.40

Output
E_form in eV/atom: -0.221
Size of the total moment in μB/cell: 0.00

***

[4]
An optimized crystal structure of SrPrZn3, computed with GGA-PBE.

abc: 14.0860 14.0860 4.5991
angles: 90.00 90.00 163.66
With the nearest neighbours (Å) after each atom.
Atoms (fractional coordinates):
Sr  0.0725  0.9275  0.7500  12 Zn 3.33-3.45
Sr  0.9275  0.0725  0.2500  12 Zn 3.33-3.45
Pr  0.2077  0.7923  0.2500  7 Zn 3.15-3.32
Pr  0.7923  0.2077  0.7500  7 Zn 3.15-3.32
Zn  0.3266  0.6734  0.2500  2 Zn 2.73
Zn  0.3797  0.6203  0.7500  3 Zn 2.68-2.73
Zn  0.4758  0.5242  0.7500  3 Zn 2.67-2.68
Zn  0.5242  0.4758  0.2500  3 Zn 2.67-2.68
Zn  0.6203  0.3797  0.2500  3 Zn 2.68-2.73
Zn  0.6734  0.3266  0.7500  2 Zn 2.73

Output
E_form in eV/atom: -0.240
Size of the total moment in μB/cell: 0.00

***

- Among the records above, which one has the highest E_form?
  Sr2PrZn3